Below is MgFe4CuO8 after structural relaxation, with properties calculated at the PBE+U level.

* energy: -171.36 eV/cell
* V: 10.47 A^3/atom

Cell: 10.327 5.888 5.811 Å, 90.00 123.94 90.00°
Space group C2/m (No. 12)
Unique sites:
Mg 0.000 0.000 0.000
Fe 0.111 0.500 0.368
Fe 0.250 0.250 0.000
Cu 0.000 0.000 0.500
O 0.021 0.236 0.763
O 0.231 0.500 0.208
O 0.245 0.000 0.229